Record 1
The following is a GGA-PBEsol calculation of crystalline Al3CdIn at its relaxed geometry, from Alexandria via LeMat-Bulk.

a = 5.0313 Å, b = 5.0313 Å, c = 5.0313 Å
α = 90.00°, β = 90.00°, γ = 90.00°
Positions (direct):
Cd  0.0000  0.0000  0.0000
Al  0.0000  0.5000  0.0000
Al  0.0000  0.0000  0.5000
Al  0.5000  0.0000  0.0000
In  0.5000  0.5000  0.5000

SG: Pm-3m (221)
Energy of formation from the pure elements in kcal/mol of atoms: 15.884
DOS(E_F) in states/eV/f.u.: 2.89

---

Record 2
The following is a GGA-PBEsol calculation of crystalline AlCdIn2 at its relaxed geometry, from Alexandria via LeMat-Bulk.

a = 3.1619 Å, b = 4.3615 Å, c = 6.4433 Å
α = 90.00°, β = 90.00°, γ = 90.00°
Positions (direct):
Cd  0.5000  0.5000  0.7362
Al  0.0000  0.0000  0.5079
In  0.0000  0.0000  0.9907
In  0.5000  0.5000  0.2652

SG: Pmm2 (25)
Energy of formation from the pure elements in kcal/mol of atoms: 2.500
DOS(E_F) in states/eV/f.u.: 1.58

---

Record 3
The following is a GGA-PBEsol calculation of crystalline AlCdIn2 at its relaxed geometry, from Alexandria via LeMat-Bulk.

a = 3.1891 Å, b = 5.3988 Å, c = 5.3988 Å
α = 108.64°, β = 90.03°, γ = 90.03°
Positions (direct):
Cd  0.5000  0.5000  0.5000
Al  0.5000  0.0000  0.0000
In  0.0000  0.5000  0.0000
In  0.0000  0.0000  0.5000

SG: Cmmm (65)
Energy of formation from the pure elements in kcal/mol of atoms: 2.486
DOS(E_F) in states/eV/f.u.: 1.40

---

Record 4
The following is a GGA-PBEsol calculation of crystalline AlCd2Ir at its relaxed geometry, from Alexandria via LeMat-Bulk.

a = 2.9554 Å, b = 4.6570 Å, c = 5.6343 Å
α = 114.48°, β = 105.31°, γ = 89.76°
Positions (direct):
Ir  0.0000  0.5000  0.0000
Al  0.5000  0.0000  0.0000
Cd  0.0000  0.5000  0.5000
Cd  0.5000  0.0000  0.5000

SG: C2/m (12)
Energy of formation from the pure elements in kcal/mol of atoms: 0.714
DOS(E_F) in states/eV/f.u.: 1.45

---

Record 5
The following is a GGA-PBEsol calculation of crystalline KAlCd at its relaxed geometry, from Alexandria via LeMat-Bulk.

a = 3.0754 Å, b = 4.4152 Å, c = 6.6759 Å
α = 109.31°, β = 103.32°, γ = 90.00°
Positions (direct):
K  0.6653  0.6653  0.3305
Al  0.9552  0.9552  0.9104
Cd  0.3795  0.3795  0.7590

SG: Imm2 (44)
Energy of formation from the pure elements in kcal/mol of atoms: 3.709
DOS(E_F) in states/eV/f.u.: 1.51

---

Record 6
The following is a GGA-PBEsol calculation of crystalline KAlCd2 at its relaxed geometry, from Alexandria via LeMat-Bulk.

a = 2.9862 Å, b = 4.9058 Å, c = 7.5435 Å
α = 94.79°, β = 90.00°, γ = 107.72°
Positions (direct):
K  0.4974  0.9949  0.4926
Al  0.7418  0.4835  0.1697
Cd  0.0017  0.0035  0.0226
Cd  0.2591  0.5182  0.8151

SG: Cm (8)
Energy of formation from the pure elements in kcal/mol of atoms: 3.322
DOS(E_F) in states/eV/f.u.: 1.55

---

Record 7
The following is a GGA-PBEsol calculation of crystalline KAl2Cd at its relaxed geometry, from Alexandria via LeMat-Bulk.

a = 5.0179 Å, b = 5.0179 Å, c = 5.0179 Å
α = 60.00°, β = 60.00°, γ = 60.00°
Positions (direct):
K  0.2500  0.2500  0.2500
Al  0.0000  0.0000  0.0000
Al  0.7500  0.7500  0.7500
Cd  0.5000  0.5000  0.5000

SG: F-43m (216)
Energy of formation from the pure elements in kcal/mol of atoms: 6.784
DOS(E_F) in states/eV/f.u.: 1.45

---

Record 8
The following is a GGA-PBEsol calculation of crystalline KAl3Cd at its relaxed geometry, from Alexandria via LeMat-Bulk.

a = 5.5967 Å, b = 5.5967 Å, c = 5.5967 Å
α = 90.00°, β = 90.00°, γ = 90.00°
Positions (direct):
K  0.0000  0.0000  0.0000
Al  0.0000  0.5000  0.0000
Al  0.0000  0.0000  0.5000
Al  0.5000  0.0000  0.0000
Cd  0.5000  0.5000  0.5000

SG: Pm-3m (221)
Energy of formation from the pure elements in kcal/mol of atoms: 36.244
DOS(E_F) in states/eV/f.u.: 4.29

---

Record 9
The following is a GGA-PBEsol calculation of crystalline KAl2Cd at its relaxed geometry, from Alexandria via LeMat-Bulk.

a = 2.9118 Å, b = 4.1142 Å, c = 8.0303 Å
α = 90.00°, β = 89.95°, γ = 90.00°
Positions (direct):
K  0.4985  0.5000  0.7573
Al  0.0002  0.0000  0.0732
Al  0.5004  0.5000  0.2303
Cd  0.0009  0.0000  0.4391

SG: Pm (6)
Energy of formation from the pure elements in kcal/mol of atoms: 3.320
DOS(E_F) in states/eV/f.u.: 1.74

---

Record 10
The following is a GGA-PBEsol calculation of crystalline KAlCd2 at its relaxed geometry, from Alexandria via LeMat-Bulk.

a = 3.0198 Å, b = 4.3100 Å, c = 7.8913 Å
α = 90.00°, β = 90.00°, γ = 90.00°
Positions (direct):
K  0.0000  0.0000  0.5072
Al  0.5000  0.5000  0.8204
Cd  0.0000  0.0000  0.9801
Cd  0.5000  0.5000  0.1923

SG: Pmm2 (25)
Energy of formation from the pure elements in kcal/mol of atoms: 2.812
DOS(E_F) in states/eV/f.u.: 1.52

---

Record 11
The following is a GGA-PBEsol calculation of crystalline KAlCd2 at its relaxed geometry, from Alexandria via LeMat-Bulk.

a = 2.9820 Å, b = 4.8086 Å, c = 7.6421 Å
α = 94.67°, β = 90.00°, γ = 108.06°
Positions (direct):
K  0.0000  0.0000  0.5000
Al  0.5000  0.0000  0.0000
Cd  0.7597  0.5193  0.8165
Cd  0.2403  0.4807  0.1835

SG: C2/m (12)
Energy of formation from the pure elements in kcal/mol of atoms: 3.146
DOS(E_F) in states/eV/f.u.: 2.02

---

Record 12
The following is a GGA-PBEsol calculation of crystalline K2YAlCd at its relaxed geometry, from Alexandria via LeMat-Bulk.

a = 4.9789 Å, b = 6.3059 Å, c = 6.3059 Å
α = 90.00°, β = 90.00°, γ = 90.00°
Positions (direct):
Y  0.5000  0.5000  0.5000
K  0.0000  0.0000  0.5000
K  0.0000  0.5000  0.0000
Al  0.0000  0.0000  0.0000
Cd  0.5000  0.0000  0.0000

SG: P4/mmm (123)
Energy of formation from the pure elements in kcal/mol of atoms: 16.660
DOS(E_F) in states/eV/f.u.: 4.18

---

Record 13
The following is a GGA-PBEsol calculation of crystalline La2AlCd at its relaxed geometry, from Alexandria via LeMat-Bulk.

a = 3.7762 Å, b = 5.2912 Å, c = 6.2336 Å
α = 115.11°, β = 107.63°, γ = 90.00°
Positions (direct):
Cd  0.7821  0.2821  0.5642
Al  0.4694  0.4694  0.9388
La  0.0125  0.0125  0.0250
La  0.2360  0.7360  0.4720

SG: Imm2 (44)
Energy of formation from the pure elements in kcal/mol of atoms: -7.044
DOS(E_F) in states/eV/f.u.: 3.90

---

Record 14
The following is a GGA-PBEsol calculation of crystalline LaAlCd3 at its relaxed geometry, from Alexandria via LeMat-Bulk.

a = 5.9176 Å, b = 5.9176 Å, c = 5.9176 Å
α = 90.00°, β = 90.00°, γ = 90.00°
Each line ends with the local moment (μB).
Positions (direct):
Cd  0.0000  0.5000  0.0000  0.03
Cd  0.0000  0.0000  0.5000  0.03
Cd  0.5000  0.0000  0.0000  0.03
Al  0.5000  0.5000  0.5000  0.01
La  0.0000  0.0000  0.0000  0.24

SG: Pm-3m (221)
Energy of formation from the pure elements in kcal/mol of atoms: 25.899
DOS(E_F) in states/eV/f.u.: 7.89

---

Record 15
The following is a GGA-PBEsol calculation of crystalline La2AlCd at its relaxed geometry, from Alexandria via LeMat-Bulk.

a = 3.3912 Å, b = 3.3912 Å, c = 9.3028 Å
α = 90.00°, β = 90.00°, γ = 90.00°
Positions (direct):
Cd  0.5000  0.5000  0.7083
Al  0.0000  0.0000  0.5305
La  0.0000  0.0000  0.9623
La  0.5000  0.5000  0.2989

SG: P4mm (99)
Energy of formation from the pure elements in kcal/mol of atoms: -2.488
DOS(E_F) in states/eV/f.u.: 4.31

---

Record 16
The following is a GGA-PBEsol calculation of crystalline La2AlCd at its relaxed geometry, from Alexandria via LeMat-Bulk.

a = 3.7561 Å, b = 5.0954 Å, c = 5.5317 Å
α = 90.00°, β = 90.00°, γ = 90.00°
Positions (direct):
Cd  0.5000  0.5000  0.2140
Al  0.5000  0.0000  0.5434
La  0.0000  0.0000  0.0553
La  0.0000  0.5000  0.6873

SG: Pmm2 (25)
Energy of formation from the pure elements in kcal/mol of atoms: -7.647
DOS(E_F) in states/eV/f.u.: 3.57

---

Record 17
The following is a GGA-PBEsol calculation of crystalline La2AlCd at its relaxed geometry, from Alexandria via LeMat-Bulk.

a = 3.5085 Å, b = 4.3680 Å, c = 7.0607 Å
α = 90.00°, β = 90.00°, γ = 90.00°
Positions (direct):
Cd  0.5000  0.5000  0.5000
Al  0.5000  0.5000  0.0000
La  0.0000  0.0000  0.7684
La  0.0000  0.0000  0.2316

SG: Pmmm (47)
Energy of formation from the pure elements in kcal/mol of atoms: -7.232
DOS(E_F) in states/eV/f.u.: 3.67

---

Record 18
The following is a GGA-PBEsol calculation of crystalline La3AlCdS7 at its relaxed geometry, from Alexandria via LeMat-Bulk.

a = 6.0826 Å, b = 10.3644 Å, c = 10.3644 Å
α = 120.00°, β = 90.00°, γ = 90.00°
Positions (direct):
La  0.2399  0.6248  0.7548
La  0.2399  0.1300  0.3752
La  0.2399  0.2452  0.8700
La  0.7399  0.3752  0.2452
La  0.7399  0.8700  0.6248
La  0.7399  0.7548  0.1300
Al  0.6587  0.3333  0.6667
Al  0.1587  0.6667  0.3333
Cd  0.9976  0.0000  0.0000
Cd  0.4976  0.0000  0.0000
S  0.7523  0.7500  0.8360
S  0.7523  0.0860  0.2500
S  0.7523  0.1640  0.9140
S  0.2523  0.2500  0.1640
S  0.2523  0.9140  0.7500
S  0.2523  0.8360  0.0860
S  0.5075  0.4836  0.8939
S  0.5075  0.4103  0.5164
S  0.5075  0.1061  0.5897
S  0.0075  0.5164  0.1061
S  0.0075  0.5897  0.4836
S  0.0075  0.8939  0.4103
S  0.0265  0.3333  0.6667
S  0.5265  0.6667  0.3333

Total energy in eV per atom: -6.07
SG: P6_3 (173)
DOS(E_F) in states/eV/f.u.: 0.00

---

Record 19
The following is a GGA-PBEsol calculation of crystalline LiAl4Cd at its relaxed geometry, from Alexandria via LeMat-Bulk.

a = 5.4004 Å, b = 5.4004 Å, c = 5.4004 Å
α = 60.00°, β = 60.00°, γ = 60.00°
Positions (direct):
Al  0.3744  0.3744  0.3744
Al  0.3744  0.3744  0.8767
Al  0.8767  0.3744  0.3744
Al  0.3744  0.8767  0.3744
Cd  0.7500  0.7500  0.7500
Li  0.0000  0.0000  0.0000

SG: F-43m (216)
Energy of formation from the pure elements in kcal/mol of atoms: 1.920
DOS(E_F) in states/eV/f.u.: 2.93

---

Record 20
The following is a GGA-PBEsol calculation of crystalline LiAl3Cd at its relaxed geometry, from Alexandria via LeMat-Bulk.

a = 4.5645 Å, b = 4.5645 Å, c = 4.5645 Å
α = 90.00°, β = 90.00°, γ = 90.00°
Positions (direct):
Li  0.0000  0.0000  0.0000
Al  0.0000  0.5000  0.0000
Al  0.0000  0.0000  0.5000
Al  0.5000  0.0000  0.0000
Cd  0.5000  0.5000  0.5000

SG: Pm-3m (221)
Energy of formation from the pure elements in kcal/mol of atoms: 11.301
DOS(E_F) in states/eV/f.u.: 1.42

---

Record 21
The following is a GGA-PBEsol calculation of crystalline LiAlCd2 at its relaxed geometry, from Alexandria via LeMat-Bulk.

a = 2.9999 Å, b = 4.0856 Å, c = 6.0006 Å
α = 90.00°, β = 90.00°, γ = 90.00°
Positions (direct):
Cd  0.0000  0.0000  0.7562
Cd  0.0000  0.0000  0.2438
Al  0.5000  0.5000  0.5000
Li  0.5000  0.5000  0.0000

SG: Pmmm (47)
Energy of formation from the pure elements in kcal/mol of atoms: -2.064
DOS(E_F) in states/eV/f.u.: 1.23

---

Record 22
The following is a GGA-PBEsol calculation of crystalline LiAlCd2 at its relaxed geometry, from Alexandria via LeMat-Bulk.

a = 2.9611 Å, b = 4.2207 Å, c = 5.8798 Å
α = 90.00°, β = 90.00°, γ = 90.00°
Positions (direct):
Cd  0.0000  0.0000  0.9866
Cd  0.5000  0.5000  0.2673
Al  0.5000  0.5000  0.7460
Li  0.0000  0.0000  0.5002

SG: Pmm2 (25)
Energy of formation from the pure elements in kcal/mol of atoms: -1.783
DOS(E_F) in states/eV/f.u.: 1.44

---

Record 23
The following is a GGA-PBEsol calculation of crystalline LiAlCd2 at its relaxed geometry, from Alexandria via LeMat-Bulk.

a = 3.2592 Å, b = 4.8063 Å, c = 4.8063 Å
α = 102.26°, β = 90.00°, γ = 90.00°
Positions (direct):
Al  0.5000  0.5000  0.5000
Cd  0.0000  0.5000  0.0000
Cd  0.0000  0.0000  0.5000
Li  0.5000  0.0000  0.0000

SG: Cmmm (65)
Energy of formation from the pure elements in kcal/mol of atoms: -1.645
DOS(E_F) in states/eV/f.u.: 1.22

---

Record 24
The following is a GGA-PBEsol calculation of crystalline LiAl2Cd2 at its relaxed geometry, from Alexandria via LeMat-Bulk.

a = 2.9771 Å, b = 8.2241 Å, c = 8.2241 Å
α = 90.00°, β = 90.00°, γ = 90.00°
Positions (direct):
Li  0.0000  0.0000  0.0000
Li  0.0000  0.5000  0.5000
Al  0.5000  0.1288  0.6288
Al  0.5000  0.6288  0.8712
Al  0.5000  0.8712  0.3712
Al  0.5000  0.3712  0.1288
Cd  0.0000  0.3309  0.8309
Cd  0.0000  0.8309  0.6691
Cd  0.0000  0.6691  0.1691
Cd  0.0000  0.1691  0.3309

SG: P4/mbm (127)
Energy of formation from the pure elements in kcal/mol of atoms: 2.186
DOS(E_F) in states/eV/f.u.: 2.01

---

Record 25
The following is a GGA-PBEsol calculation of crystalline LiAlCd2 at its relaxed geometry, from Alexandria via LeMat-Bulk.

a = 4.1569 Å, b = 4.1569 Å, c = 5.1531 Å
α = 113.79°, β = 113.79°, γ = 90.00°
Positions (direct):
Cd  0.5000  0.5000  0.0000
Cd  0.7500  0.2500  0.5000
Al  0.2500  0.7500  0.5000
Li  0.0000  0.0000  0.0000

SG: I-4m2 (119)
Energy of formation from the pure elements in kcal/mol of atoms: -2.062
DOS(E_F) in states/eV/f.u.: 1.16

---

Record 26
The following is a GGA-PBEsol calculation of crystalline LiAlCd2 at its relaxed geometry, from Alexandria via LeMat-Bulk.

a = 2.9234 Å, b = 2.9234 Å, c = 8.7244 Å
α = 90.00°, β = 90.00°, γ = 90.00°
Positions (direct):
Cd  0.0000  0.0000  0.7572
Cd  0.0000  0.0000  0.2428
Al  0.5000  0.5000  0.5000
Li  0.5000  0.5000  0.0000

SG: P4/mmm (123)
Energy of formation from the pure elements in kcal/mol of atoms: -1.665
DOS(E_F) in states/eV/f.u.: 1.07

---

Record 27
The following is a GGA-PBEsol calculation of crystalline LiAlCd2 at its relaxed geometry, from Alexandria via LeMat-Bulk.

a = 4.6075 Å, b = 4.7127 Å, c = 4.6075 Å
α = 60.74°, β = 90.00°, γ = 119.26°
Positions (direct):
Cd  0.7500  0.5000  0.7500
Cd  0.2500  0.5000  0.2500
Al  0.0000  0.0000  0.0000
Li  0.5000  0.0000  0.5000

SG: I4/mmm (139)
Energy of formation from the pure elements in kcal/mol of atoms: -2.512
DOS(E_F) in states/eV/f.u.: 1.01

---

Record 28
The following is a GGA-PBEsol calculation of crystalline Li3AlCd at its relaxed geometry, from Alexandria via LeMat-Bulk.

a = 4.8296 Å, b = 4.8296 Å, c = 4.8296 Å
α = 90.00°, β = 90.00°, γ = 90.00°
Positions (direct):
Li  0.0000  0.5000  0.0000
Li  0.0000  0.0000  0.5000
Li  0.5000  0.0000  0.0000
Al  0.5000  0.5000  0.5000
Cd  0.0000  0.0000  0.0000

SG: Pm-3m (221)
Energy of formation from the pure elements in kcal/mol of atoms: 8.402
DOS(E_F) in states/eV/f.u.: 2.12

---

Record 29
The following is a GGA-PBEsol calculation of crystalline Mg2AlCd at its relaxed geometry, from Alexandria via LeMat-Bulk.

a = 4.2449 Å, b = 4.3343 Å, c = 4.3343 Å
α = 90.00°, β = 90.00°, γ = 90.00°
Positions (direct):
Mg  0.0000  0.0000  0.5000
Mg  0.0000  0.5000  0.0000
Al  0.5000  0.5000  0.5000
Cd  0.5000  0.0000  0.0000

SG: P4/mmm (123)
Energy of formation from the pure elements in kcal/mol of atoms: -0.732
DOS(E_F) in states/eV/f.u.: 1.40